(1)
This record from the Open Quantum Materials Database describes a relaxed structure of KPrP4O12. The functional is PBE.

- Calculated volume: 13.26 Å³/atom
- Symmetry: C2/c
- M_tot: 0.0 μB/f.u.
- Total DFT energy (no corrections): -7.2669 eV per atom
- E above lowest polymorph: 3 meV per atom

a b c (Å): 7.2863 7.2863 10.6039
angles (deg): 100.92 100.92 115.01
Sites, in units of the cell vectors:
K 0.1823 0.8177 0.7500
K 0.8177 0.1823 0.2500
Pr 0.1204 0.8796 0.2500
Pr 0.8796 0.1204 0.7500
P 0.2656 0.3068 0.5634
P 0.2867 0.6354 0.9974
P 0.3068 0.2656 0.0634
P 0.3646 0.7133 0.5026
P 0.6354 0.2867 0.4974
P 0.6932 0.7344 0.9366
P 0.7133 0.3646 0.0026
P 0.7344 0.6932 0.4366
O 0.0803 0.4975 0.8870
O 0.1383 0.1712 0.4210
O 0.1683 0.6855 0.4067
O 0.1712 0.1383 0.9210
O 0.2031 0.2390 0.6793
O 0.2390 0.2031 0.1793
O 0.2882 0.5402 0.5830
O 0.3145 0.8317 0.0933
O 0.3592 0.5109 0.0870
O 0.4598 0.7118 0.9170
O 0.4891 0.6408 0.4130
O 0.4975 0.0803 0.3870
O 0.5025 0.9197 0.6130
O 0.5109 0.3592 0.5870
O 0.5402 0.2882 0.0830
O 0.6408 0.4891 0.9130
O 0.6855 0.1683 0.9067
O 0.7118 0.4598 0.4170
O 0.7610 0.7969 0.8207
O 0.7969 0.7610 0.3207
O 0.8288 0.8617 0.0790
O 0.8317 0.3145 0.5933
O 0.8617 0.8288 0.5790
O 0.9197 0.5025 0.1130

(2)
This record from the Open Quantum Materials Database describes a relaxed structure of PaCdHg. The functional is PBE.

- Calculated volume: 29.81 Å³/atom
- Symmetry: F-43m
- M_tot: 0.9 μB/f.u.
- Total DFT energy (no corrections): -2.9345 eV per atom
- Energy of formation: 0.63 eV/atom
- E above lowest polymorph: 333 meV per atom

a b c (Å): 5.0194 5.0194 5.0194
angles (deg): 60.00 60.00 60.00
Sites, in units of the cell vectors:
Pa 0.0000 0.0000 0.0000
Cd 0.7500 0.7500 0.7500
Hg 0.2500 0.2500 0.2500

(3)
This record from the Open Quantum Materials Database describes a relaxed structure of LiZr. The functional is PBE.

- Calculated volume: 19.42 Å³/atom
- Symmetry: Pmmn
- M_tot: 0.0 μB/f.u.
- Total DFT energy (no corrections): -4.9699 eV per atom
- E above lowest polymorph: 143 meV per atom

a b c (Å): 4.8334 11.7303 5.4792
angles (deg): 90.00 90.00 90.00
Sites, in units of the cell vectors:
Li 0.2500 0.0113 0.1216
Li 0.2500 0.1342 0.7518
Li 0.2500 0.3658 0.7518
Li 0.2500 0.4887 0.1216
Li 0.7500 0.5113 0.8784
Li 0.7500 0.6342 0.2482
Li 0.7500 0.8658 0.2482
Li 0.7500 0.9887 0.8784
Zr 0.2500 0.2500 0.2780
Zr 0.2500 0.6148 0.5864
Zr 0.2500 0.7500 0.0694
Zr 0.2500 0.8852 0.5864
Zr 0.7500 0.1148 0.4136
Zr 0.7500 0.2500 0.9306
Zr 0.7500 0.3852 0.4136
Zr 0.7500 0.7500 0.7220

(4)
This record from the Open Quantum Materials Database describes a relaxed structure of TmPtNO. The functional is PBE.

- Calculated volume: 14.92 Å³/atom
- Symmetry: P4/nmm
- M_tot: 0.0 μB/f.u.
- Total DFT energy (no corrections): -7.3139 eV per atom
- E above lowest polymorph: 174 meV per atom

a b c (Å): 4.1588 4.1588 6.8989
angles (deg): 90.00 90.00 90.00
Sites, in units of the cell vectors:
Tm 0.2500 0.2500 0.1276
Tm 0.7500 0.7500 0.8724
Pt 0.2500 0.7500 0.5000
Pt 0.7500 0.2500 0.5000
N 0.2500 0.2500 0.4483
N 0.7500 0.7500 0.5517
O 0.2500 0.7500 0.0000
O 0.7500 0.2500 0.0000

> Look up the calculated volume of the first one.

13.26 Å³/atom